(1)
VASP calculation (GGA-PBE) on an optimized crystal structure of SmDy3Sc2S6.

Cell: 6.677 11.590 6.673 Å, 90.00 109.52 90.00°
Space group C2/m (No. 12)
Unique sites:
Sm (0.000, 0.000, 0.000) x2
Dy (0.000, 0.160, 0.500) x4
Dy (0.000, 0.500, 0.500) x2
Sc (0.000, 0.335, 0.000) x4
S (0.232, 0.500, 0.239) x4
S (0.245, 0.326, 0.756) x8

Summary:
* DOS(E_F): 0.44 states/eV/atom
* energy relative to the elements, uncorrected: -1940 meV per atom
* calculated volume: 20.3 Å³/atom

***

(2)
VASP calculation (GGA-PBE) on an optimized crystal structure of Sm4Dy3ScS8.

Cell: 7.8296 7.8296 19.4795 Å, 90.00 90.00 120.00°
Space group R-3m (No. 166, hexagonal axes)
Unique sites:
Sm (0.0000, 0.0000, 0.0000) x3
Sm (0.0000, 0.5000, 0.0000) x9
Dy (0.0000, 0.5000, 0.5000) x9
Sc (0.0000, 0.0000, 0.5000) x3
S (0.0000, 0.0000, 0.2465) x6
S (0.0075, 0.5038, 0.2447) x18

Summary:
* DOS(E_F): 0.55 states/eV/atom
* energy relative to the elements, uncorrected: -1981 meV per atom
* calculated volume: 21.5 Å³/atom

***

(3)
VASP calculation (GGA-PBE) on an optimized crystal structure of Sm3Dy2ScS6.

Cell: 6.757 11.746 6.845 Å, 90.00 109.30 90.00°
Space group C2/m (No. 12)
Unique sites:
Sm (0.000, 0.000, 0.000) x2
Sm (0.000, 0.330, 0.000) x4
Dy (0.000, 0.166, 0.500) x4
Sc (0.000, 0.500, 0.500) x2
S (0.240, 0.338, 0.734) x8
S (0.245, 0.500, 0.263) x4

Summary:
* DOS(E_F): 0.45 states/eV/atom
* energy relative to the elements, uncorrected: -1981 meV per atom
* calculated volume: 21.4 Å³/atom

***

(4)
VASP calculation (GGA-PBE) on an optimized crystal structure of SmDy4ScS8.

Cell: 7.9954 7.9954 19.6715 Å, 90.00 90.00 120.00°
Space group R3m (No. 160, hexagonal axes)
Unique sites:
Sm (0.0000, 0.0000, 0.0000) x3
Dy (0.0000, 0.0000, 0.6219) x3
Dy (0.1710, 0.3420, 0.8287) x9
Sc (0.0000, 0.0000, 0.3712) x3
S (0.0000, 0.0000, 0.2438) x3
S (0.0000, 0.0000, 0.7554) x3
S (0.0016, 0.5008, 0.7493) x9
S (0.1762, 0.3525, 0.5753) x9

Summary:
* DOS(E_F): 0.43 states/eV/atom
* energy relative to the elements, uncorrected: -1918 meV per atom
* calculated volume: 25.9 Å³/atom

***

(5)
VASP calculation (GGA-PBE) on an optimized crystal structure of Sm2DyScS4.

Cell: 6.733 3.863 6.865 Å, 90.00 108.91 90.00°
Space group P2/m (No. 10)
Unique sites:
Sm (0.000, 0.000, 0.000) x1
Sm (0.500, 0.500, 0.000) x1
Dy (0.000, 0.500, 0.500) x1
Sc (0.500, 0.000, 0.500) x1
S (0.252, 0.000, 0.735) x2
S (0.264, 0.500, 0.271) x2

Summary:
* DOS(E_F): 0.57 states/eV/atom
* energy relative to the elements, uncorrected: -1961 meV per atom
* calculated volume: 21.1 Å³/atom

***

(6)
VASP calculation (GGA-PBE) on an optimized crystal structure of SmDy2ScS4.

Cell: 6.717 3.853 6.787 Å, 90.00 109.07 90.00°
Space group P2/m (No. 10)
Unique sites:
Sm (0.000, 0.000, 0.000) x1
Dy (0.500, 0.000, 0.500) x1
Dy (0.500, 0.500, 0.000) x1
Sc (0.000, 0.500, 0.500) x1
S (0.243, 0.000, 0.737) x2
S (0.251, 0.500, 0.262) x2

Summary:
* DOS(E_F): 0.61 states/eV/atom
* energy relative to the elements, uncorrected: -1944 meV per atom
* calculated volume: 20.8 Å³/atom